Compound: CsSr3W
Source: Alexandria via LeMat-Bulk
Functional: PBE
Structure: optimized geometry

Cell and atoms, written as POSCAR:
```
CsSr3W
1.0
6.1896 0.0000 0.0000
0.0000 6.1896 0.0000
0.0000 0.0000 6.1896
Cs Sr W
1 3 1
Cartesian
0.0000 0.0000 0.0000 Cs
0.0000 3.0948 3.0948 Sr
3.0948 0.0000 3.0948 Sr
3.0948 3.0948 0.0000 Sr
3.0948 3.0948 3.0948 W
```

Output
* energy of formation: 0.929 eV/atom


Compound: CsSr2Y
Source: Alexandria via LeMat-Bulk
Functional: PBE
Structure: optimized geometry

Cell and atoms, written as POSCAR:
```
CsSr2Y
1.0
0.0000 4.6988 4.6988
4.6988 0.0000 4.6988
4.6988 4.6988 0.0000
Cs Sr Y
1 2 1
Cartesian
0.0000 0.0000 0.0000 Cs
2.3494 2.3494 2.3494 Sr
7.0482 7.0482 7.0482 Sr
4.6988 4.6988 4.6988 Y
```

Output
* energy of formation: 0.433 eV/atom
* E above lowest polymorph: 0.000 eV/atom


Compound: CsSr3Y
Source: Alexandria via LeMat-Bulk
Functional: PBE
Structure: optimized geometry

Cell and atoms, written as POSCAR:
```
CsSr3Y
1.0
6.3247 0.0000 0.0000
0.0000 6.3247 0.0000
0.0000 0.0000 6.3247
Cs Sr Y
1 3 1
Cartesian
0.0000 0.0000 0.0000 Cs
0.0000 0.0000 3.1624 Sr
0.0000 3.1624 0.0000 Sr
3.1624 0.0000 0.0000 Sr
3.1624 3.1624 3.1624 Y
```

Output
* energy of formation: 0.967 eV/atom


Compound: Cs3SrY
Source: Alexandria via LeMat-Bulk
Functional: PBE
Structure: optimized geometry

Cell and atoms, written as POSCAR:
```
Cs3SrY
1.0
7.7196 0.0000 0.0000
0.0000 7.7196 0.0000
0.0000 0.0000 7.7196
Cs Sr Y
3 1 1
Cartesian
0.0000 0.0000 3.8598 Cs
0.0000 3.8598 0.0000 Cs
3.8598 0.0000 0.0000 Cs
3.8598 3.8598 3.8598 Sr
0.0000 0.0000 0.0000 Y
```

Output
* energy of formation: 0.779 eV/atom


Record-wise total magnetization values, in μB/f.u.: 0.50, 0.00, 1.87, 4.00
Record-wise total DFT energy (no corrections) values, in eV/cell: -14.21, -8.95, -7.53, -6.81